First-principles (PBE) data for an optimized crystal structure of KBa2Fe, as listed in the Alexandria database.

Unit cell a=7.6627 b=7.6627 c=7.6627 alpha=147.35 beta=125.82 gamma=64.71
Last column: nearest neighbours and their distance in Å.
Fractional coordinates of all 4 atoms:
Ba (0.5700, 0.5700, 0.0000)  2 Fe 3.17
Ba (0.9300, 0.9300, 0.0000)  2 Fe 3.17
Fe (0.7500, 0.2500, 0.5000)  4 Ba 3.17
K (0.2500, 0.7500, 0.5000)  4 Fe 4.10, 4 Ba 4.20, 2 K 4.31

The energy of formation from the pure elements is 0.62 eV/atom. As for the excess energy over the best structure of this formula in the dataset: 179.3 meV per atom. The space group is Immm, No. 71.


First-principles (PBE) data for an optimized crystal structure of MnCoPb2, as listed in the Alexandria database.

Unit cell a=5.6374 b=5.6374 c=5.6374 alpha=137.69 beta=137.69 gamma=61.39
Last column: nearest neighbours and their distance in Å.
Fractional coordinates of all 4 atoms:
Pb (0.0000, 0.0000, 0.0000)  4 Co 2.88, 4 Mn 3.16, 4 Pb 3.16
Pb (0.2500, 0.7500, 0.5000)  4 Mn 2.88, 4 Co 3.16, 4 Pb 3.16
Co (0.5000, 0.5000, 0.0000)  8 Pb 2.88-3.16, 4 Mn 3.16
Mn (0.7500, 0.2500, 0.5000)  8 Pb 2.88-3.16, 4 Co 3.16

The energy of formation from the pure elements is 0.59 eV/atom. As for the excess energy over the best structure of this formula in the dataset: 325.8 meV per atom. The space group is I-4m2, No. 119.


First-principles (PBE) data for an optimized crystal structure of KBeAu2F, as listed in the Alexandria database.

Unit cell a=5.6582 b=4.4503 c=5.6582 alpha=90.00 beta=90.00 gamma=90.00
Last column: nearest neighbours and their distance in Å.
Fractional coordinates of all 5 atoms:
K (0.0000, 0.0000, 0.0000)  2 F 2.23
Be (0.5000, 0.5000, 0.5000)  8 Au 3.60, 4 F 4.00
Au (0.5000, 0.0000, 0.0000)  2 K 2.83
Au (0.0000, 0.0000, 0.5000)  2 K 2.83
F (0.0000, 0.5000, 0.0000)  2 K 2.23

The space group is P4/mmm, No. 123. Its raw formation energy is 687 meV per atom.


First-principles (PBE) data for an optimized crystal structure of LiHf2NbN4, as listed in the Alexandria database.

Unit cell a=4.4213 b=4.4213 c=5.4500 alpha=113.93 beta=113.93 gamma=90.00
Last column: nearest neighbours and their distance in Å.
Fractional coordinates of all 8 atoms:
Hf (0.6872, 0.1872, 0.5000)  6 N 2.21-2.23
Hf (0.1872, 0.6872, 0.5000)  6 N 2.21-2.23
Nb (0.9372, 0.9372, 0.0000)  6 N 2.21-2.23
N (0.9372, 0.4372, 0.0000)  2 Li 2.21, 2 Nb 2.21, 2 Hf 2.23
N (0.4372, 0.9372, 0.0000)  2 Li 2.21, 2 Nb 2.21, 2 Hf 2.23
N (0.1873, 0.1873, 0.5003)  4 Hf 2.21, 1 Li 2.23, 1 Nb 2.23
N (0.6870, 0.6870, 0.4997)  4 Hf 2.21, 1 Li 2.23, 1 Nb 2.23
Li (0.4371, 0.4371, 0.0000)  6 N 2.21-2.23

The space group is I4/mmm, No. 139. Its raw formation energy is -1434 meV per atom.


First-principles (PBE) data for an optimized crystal structure of In2NiCl, as listed in the Alexandria database.

Unit cell a=5.3870 b=5.3870 c=5.3870 alpha=138.79 beta=113.39 gamma=81.41
Last column: nearest neighbours and their distance in Å.
Fractional coordinates of all 4 atoms:
Cl (0.2500, 0.7500, 0.5000)  4 In 3.00
Ni (0.7500, 0.2500, 0.5000)  4 In 2.59
In (0.5345, 0.5345, 0.0000)  2 Ni 2.59
In (0.9655, 0.9655, 0.0000)  2 Ni 2.59

As for the excess energy over the best structure of this formula in the dataset: 308.9 meV per atom. The space group is Immm, No. 71. Its raw formation energy is 53 meV per atom.


First-principles (PBE) data for an optimized crystal structure of La2Tb3ThSe6, as listed in the Alexandria database.

Unit cell a=4.1485 b=8.4472 c=9.4198 alpha=104.63 beta=102.72 gamma=90.00
Last column: nearest neighbours and their distance in Å.
Fractional coordinates of all 12 atoms:
La (0.8364, 0.6718, 0.6728)  6 Se 3.01-3.06
La (0.1636, 0.3282, 0.3272)  6 Se 3.01-3.06
Se (0.3305, 0.9280, 0.6610)  3 Tb 2.88-2.91, 1 Th 3.02, 2 La 3.02
Se (0.6643, 0.5923, 0.3286)  3 Tb 2.90-2.92, 3 La 3.04-3.06
Se (0.6695, 0.0720, 0.3390)  3 Tb 2.88-2.91, 1 Th 3.02, 2 La 3.02
Se (0.0054, 0.7439, 0.0109)  3 Tb 2.86-2.91, 1 La 3.01, 2 Th 3.02
Se (0.3357, 0.4077, 0.6714)  3 Tb 2.90-2.92, 3 La 3.04-3.06
Se (0.9946, 0.2561, 0.9891)  3 Tb 2.86-2.91, 1 La 3.01, 2 Th 3.02
Th (0.5000, 0.0000, 0.0000)  6 Se 3.02
Tb (0.5000, 0.5000, 0.0000)  6 Se 2.91-2.92
Tb (0.8332, 0.1658, 0.6665)  6 Se 2.86-2.91
Tb (0.1668, 0.8342, 0.3335)  6 Se 2.86-2.91

The space group is C2/m, No. 12. Its raw formation energy is -1805 meV per atom.